(1)
A plane-wave DFT calculation with PBE was carried out for a relaxed ZrScPd3 crystal.

a b c (Å): 7.4985 5.5748 9.0023
angles (deg): 90.00 107.84 90.00
With the nearest neighbours (Å) after each atom.
Space group P2_1/c (No. 14)
Unique sites:
Zr 0.1001 0.1156 0.1646 x4  6 Pd 2.65-2.96
Sc 0.3483 0.7462 0.4566 x4  9 Pd 2.68-2.99
Pd 0.1185 0.6232 0.1310 x4  2 Sc 2.76-2.99, 4 Zr 2.77-3.04, 3 Pd 2.84-2.92
Pd 0.2761 0.2432 0.9534 x4  2 Zr 2.65-2.72, 3 Sc 2.68-2.90, 1 Pd 2.92
Pd 0.4987 0.5287 0.7488 x4  4 Sc 2.76-2.99, 6 Pd 2.79-3.08, 1 Zr 2.96

Computed properties:
distance to the lowest polymorph of the same formula	40	meV/atom
total energy	-135.95	eV per cell
size of the total moment	0.00	μB per atom
energy of formation	-706	meV per atom

(2)
A plane-wave DFT calculation with PBE was carried out for a relaxed Pu2InAs3Rh4 crystal.

a b c (Å): 4.0889 4.0889 11.2206
angles (deg): 90.00 90.00 90.00
With the nearest neighbours (Å) after each atom.
Space group P-4m2 (No. 115)
Unique sites:
Pu 0.0000 0.5000 0.2416 x2  8 Rh 3.10-3.40, 4 As 3.16
In 0.0000 0.0000 0.5000 x1  4 Rh 2.70, 4 As 2.89
As 0.0000 0.5000 0.8718 x2  5 Rh 2.40-2.50
As 0.5000 0.5000 0.5000 x1  4 Rh 2.70, 4 In 2.89
Rh 0.0000 0.0000 0.0000 x1  4 As 2.50
Rh 0.0000 0.5000 0.6577 x2  1 As 2.40
Rh 0.5000 0.5000 0.0000 x1  4 As 2.50

Computed properties:
total energy	-81.00	eV per cell
size of the total moment	1.05	μB per atom
energy of formation	-624	meV per atom

(3)
A plane-wave DFT calculation with PBE was carried out for a relaxed LaZnCuRh2 crystal.

a b c (Å): 4.8977 4.8977 5.2493
angles (deg): 90.00 90.00 90.00
With the nearest neighbours (Å) after each atom.
Space group P4/mmm (No. 123)
Unique sites:
La 0.0000 0.0000 0.0000 x1  4 Rh 2.45, 2 Cu 2.62
Zn 0.5000 0.5000 0.5000 x1  4 Cu 3.46, 8 Rh 3.59
Cu 0.0000 0.0000 0.5000 x1  2 La 2.62
Rh 0.0000 0.5000 0.0000 x2  2 La 2.45

Computed properties:
total energy	-19.99	eV per cell
size of the total moment	0.00	μB per atom
energy of formation	1003	meV per atom

(4)
A plane-wave DFT calculation with PBE was carried out for a relaxed Sm6ErIn3 crystal.

a b c (Å): 10.5643 15.6707 7.7930
angles (deg): 90.00 90.00 90.00
With the nearest neighbours (Å) after each atom.
Space group Cmc2_1 (No. 36)
Unique sites:
Sm 0.0000 0.0448 0.0000 x4  1 Er 3.32, 6 Sm 3.34-3.68, 4 In 3.41-3.49
Sm 0.0000 0.3065 0.8554 x4  3 In 3.38-3.48, 6 Sm 3.58-3.69
Sm 0.2314 0.3144 0.5012 x8  3 In 3.12-3.29, 1 Sm 3.41, 1 Er 3.45
Sm 0.2400 0.4668 0.8137 x8  4 In 3.24-3.33, 3 Sm 3.34-3.58
Er 0.0000 0.1984 0.2926 x4  2 In 3.25, 5 Sm 3.32-3.64
In 0.0000 0.4540 0.5387 x4  7 Sm 3.29-3.38
In 0.1431 0.1373 0.6413 x8  1 In 3.02, 4 Sm 3.12-3.27, 1 Er 3.25

Computed properties:
distance to the lowest polymorph of the same formula	123	meV/atom
total energy	-169.92	eV per cell
size of the total moment	0.00	μB per atom
energy of formation	-139	meV per atom

(5)
A plane-wave DFT calculation with PBE was carried out for a relaxed CaEuHo2 crystal.

a b c (Å): 5.8483 5.8483 4.0876
angles (deg): 90.00 90.00 90.00
With the nearest neighbours (Å) after each atom.
Space group P4/mmm (No. 123)
Unique sites:
Ca 0.0000 0.0000 0.0000 x1  8 Ho 3.57
Eu 0.5000 0.5000 0.0000 x1  8 Ho 3.57
Ho 0.0000 0.5000 0.5000 x2  4 Ca 3.57, 4 Eu 3.57

Computed properties:
distance to the lowest polymorph of the same formula	33	meV/atom
total energy	-20.68	eV per cell
size of the total moment	1.88	μB per atom
energy of formation	187	meV per atom

(6)
A plane-wave DFT calculation with PBE was carried out for a relaxed Ba2CaH2O2 crystal.

a b c (Å): 4.2403 4.2403 14.1353
angles (deg): 90.00 90.00 90.00
With the nearest neighbours (Å) after each atom.
Space group I4/mmm (No. 139)
Unique sites:
Ba 0.0000 0.0000 0.1553 x4  1 O 2.54
Ca 0.0000 0.0000 0.5000 x2  4 H 2.12, 2 O 2.33
H 0.0000 0.5000 0.0000 x4  2 Ca 2.12
O 0.0000 0.0000 0.3351 x4  1 Ca 2.33, 1 Ba 2.54

Computed properties:
total energy	-68.40	eV per cell
size of the total moment	0.00	μB per atom

(7)
A plane-wave DFT calculation with PBE was carried out for a relaxed PaP2Rh4 crystal.

a b c (Å): 4.0161 13.1737 4.1084
angles (deg): 90.00 90.00 90.00
With the nearest neighbours (Å) after each atom.
Space group Cmmm (No. 65)
Unique sites:
Pa 0.0000 0.0000 0.0000 x2  8 Rh 2.99-3.07, 8 P 3.08
P 0.0000 0.4148 0.5000 x4  1 P 2.24, 4 Rh 2.32-2.33
Rh 0.0000 0.1727 0.5000 x4  2 P 2.32
Rh 0.0000 0.3317 0.0000 x4  2 P 2.33

Computed properties:
distance to the lowest polymorph of the same formula	47	meV/atom
total energy	-110.59	eV per cell
size of the total moment	0.00	μB per atom
energy of formation	-796	meV per atom

(8)
A plane-wave DFT calculation with PBE was carried out for a relaxed SrLaMn2 crystal.

a b c (Å): 10.3579 3.7601 6.6515
angles (deg): 90.00 118.92 90.00
With the nearest neighbours (Å) after each atom.
Space group Cm (No. 8)
Unique sites:
Sr 0.0000 0.0000 0.0000 x2  6 Mn 3.28-3.50
La 0.1040 0.5000 0.5810 x2  3 Mn 2.91-3.02
Mn 0.3017 0.0000 0.4983 x2  2 Mn 2.29
Mn 0.3067 0.5000 0.3059 x2  2 Mn 2.29

Computed properties:
distance to the lowest polymorph of the same formula	227	meV/atom
total energy	-45.97	eV per cell
size of the total moment	0.27	μB per atom
energy of formation	491	meV per atom

(9)
A plane-wave DFT calculation with PBE was carried out for a relaxed LiVSi crystal.

a b c (Å): 2.7537 4.1112 7.4210
angles (deg): 73.95 86.38 89.96
With the nearest neighbours (Å) after each atom.
Space group P1 (No. 1)
Unique sites:
Li 0.0000 0.0000 0.0000 x1  4 Si 2.43-2.48, 4 Li 2.47-2.48
Li 0.4997 0.4990 0.0011 x1  6 Li 2.47-2.75
V 0.0949 0.6942 0.6042 x1  5 Si 2.44-2.66, 2 V 2.61
V 0.9062 0.2983 0.3962 x1  5 Si 2.43-2.66, 2 V 2.61
Si 0.4677 0.8538 0.2850 x1  2 Li 2.43-2.48, 5 V 2.44-2.66
Si 0.5332 0.1387 0.7153 x1  2 Li 2.43-2.47, 5 V 2.43-2.66

Computed properties:
total energy	-34.13	eV per cell
uncorrected formation energy	-0.203	eV per atom
size of the total moment	0.00	μB per atom

(10)
A plane-wave DFT calculation with PBE was carried out for a relaxed Nd2Dy4YMg crystal.

a b c (Å): 4.9876 4.9982 10.1445
angles (deg): 90.00 90.00 90.00
With the nearest neighbours (Å) after each atom.
Space group Pmmm (No. 47)
Unique sites:
Nd 0.0000 0.0000 0.0000 x1  4 Mg 3.53, 8 Dy 3.55
Nd 0.5000 0.5000 0.5000 x1  4 Y 3.53, 8 Dy 3.57
Dy 0.0000 0.5000 0.2483 x2  4 Dy 3.53, 2 Mg 3.54, 4 Nd 3.55-3.57, 2 Y 3.57
Dy 0.5000 0.0000 0.2485 x2  4 Dy 3.53, 4 Nd 3.55-3.57, 2 Mg 3.55, 2 Y 3.57
Y 0.0000 0.0000 0.5000 x1  4 Nd 3.53, 8 Dy 3.57
Mg 0.5000 0.5000 0.0000 x1  4 Nd 3.53, 8 Dy 3.54-3.55

Computed properties:
total energy	-35.77	eV per cell
size of the total moment	0.00	μB per atom
energy of formation	29	meV per atom

(11)
A plane-wave DFT calculation with PBE was carried out for a relaxed TaCr2B2 crystal.

a b c (Å): 5.8991 5.8991 2.9762
angles (deg): 90.00 90.00 90.00
With the nearest neighbours (Å) after each atom.
Space group P4/mbm (No. 127)
Unique sites:
Ta 0.0000 0.0000 0.0000 x2  4 B 2.40, 8 Cr 2.65
Cr 0.1711 0.3289 0.5000 x4  6 B 2.25-2.36
B 0.1087 0.6087 0.0000 x4  1 B 1.81

Computed properties:
distance to the lowest polymorph of the same formula	110	meV/atom
total energy	-92.35	eV per cell
size of the total moment	0.00	μB per atom
energy of formation	-344	meV per atom

(12)
A plane-wave DFT calculation with PBE was carried out for a relaxed Sc6AlC3 crystal.

a b c (Å): 6.0250 6.0250 16.3262
angles (deg): 90.00 90.00 120.00
With the nearest neighbours (Å) after each atom.
Space group R3 (No. 146, hexagonal axes)
Unique sites:
Sc 0.0026 0.3490 0.0000 x9  3 C 2.26-2.36
Sc 0.1241 0.7800 0.8271 x9  3 C 2.29-2.40
Al 0.0000 0.0000 0.5148 x3  3 Sc 2.75
C 0.0000 0.0000 0.0667 x3  6 Sc 2.29-2.36
C 0.0000 0.0000 0.2638 x3  6 Sc 2.26-2.40
C 0.0000 0.0000 0.7390 x3  6 Sc 2.30-2.32

Computed properties:
total energy	-219.84	eV per cell
size of the total moment	0.00	μB per atom
energy of formation	-388	meV per atom

(13)
A plane-wave DFT calculation with PBE was carried out for a relaxed Be2SbAs crystal.

a b c (Å): 6.3808 6.3808 6.3808
angles (deg): 90.00 90.00 90.00
With the nearest neighbours (Å) after each atom.
Space group Fm-3m (No. 225)
Unique sites:
Be 0.2500 0.2500 0.2500 x8  4 As 2.76, 4 Sb 2.76
Sb 0.0000 0.0000 0.0000 x4  8 Be 2.76
As 0.0000 0.0000 0.5000 x4  8 Be 2.76

Computed properties:
distance to the lowest polymorph of the same formula	541	meV/atom
total energy	-54.02	eV per cell
uncorrected formation energy	0.680	eV per atom
size of the total moment	0.00	μB per atom

(14)
A plane-wave DFT calculation with PBE was carried out for a relaxed In6Ga4Hg crystal.

a b c (Å): 6.3213 6.3213 13.7833
angles (deg): 90.00 90.00 90.00
With the nearest neighbours (Å) after each atom.
Space group I-42m (No. 121)
Unique sites:
In 0.0000 0.5000 0.0000 x4  4 Ga 2.83, 2 Hg 3.16
In 0.2082 0.2082 0.1856 x8  3 Ga 2.89-3.12, 1 Hg 3.16
Ga 0.1500 0.1500 0.3921 x8  1 Ga 2.68, 3 In 2.83-2.89
Hg 0.0000 0.0000 0.0000 x2  8 In 3.16, 4 Ga 3.46

Computed properties:
total energy	-56.16	eV per cell
size of the total moment	0.00	μB per atom
energy of formation	69	meV per atom

(15)
A plane-wave DFT calculation with PBE was carried out for a relaxed Be2AlB crystal.

a b c (Å): 2.9139 5.1262 5.9815
angles (deg): 65.39 75.96 73.77
With the nearest neighbours (Å) after each atom.
Space group P-1 (No. 2)
Unique sites:
Be 0.1397 0.3602 0.3618 x2  3 B 2.00-2.01
Be 0.1951 0.6803 0.9315 x2  1 B 1.93
Al 0.4732 0.8167 0.2377 x2  3 B 2.31-2.37, 4 Be 2.54-2.58
B 0.2385 0.9376 0.5852 x2  2 B 1.74, 1 Be 1.93

Computed properties:
distance to the lowest polymorph of the same formula	84	meV/atom
total energy	-34.90	eV per cell
size of the total moment	0.00	μB per atom
energy of formation	106	meV per atom

(16)
A plane-wave DFT calculation with PBE was carried out for a relaxed Tb4CeCd crystal.

a b c (Å): 3.5682 3.5682 14.0570
angles (deg): 90.00 90.00 90.00
With the nearest neighbours (Å) after each atom.
Space group P4/mmm (No. 123)
Unique sites:
Tb 0.0000 0.0000 0.1475 x2  4 Cd 3.27, 8 Tb 3.57
Tb 0.5000 0.5000 0.3271 x2  4 Ce 3.50, 8 Tb 3.57
Ce 0.0000 0.0000 0.5000 x1  8 Tb 3.50, 4 Ce 3.57
Cd 0.5000 0.5000 0.0000 x1  8 Tb 3.27, 4 Cd 3.57

Computed properties:
total energy	-25.73	eV per cell
size of the total moment	0.08	μB per atom
energy of formation	-60	meV per atom

(17)
A plane-wave DFT calculation with PBE was carried out for a relaxed YTm2Mg2 crystal.

a b c (Å): 8.9553 8.9553 3.5044
angles (deg): 90.00 90.00 90.00
With the nearest neighbours (Å) after each atom.
Space group P4/mbm (No. 127)
Unique sites:
Y 0.0000 0.0000 0.0000 x2  2 Y 3.50, 4 Tm 3.52, 8 Mg 3.76
Tm 0.1284 0.3716 0.0000 x4  6 Mg 3.10-3.22, 1 Tm 3.25
Mg 0.1700 0.6700 0.5000 x4  6 Tm 3.10-3.22

Computed properties:
distance to the lowest polymorph of the same formula	137	meV/atom
total energy	-36.50	eV per cell
size of the total moment	0.00	μB per atom
energy of formation	69	meV per atom

(18)
A plane-wave DFT calculation with PBE was carried out for a relaxed Sr3Al3Hg8 crystal.

a b c (Å): 5.2324 9.4831 14.4412
angles (deg): 90.00 90.00 90.00
With the nearest neighbours (Å) after each atom.
Space group Immm (No. 71)
Unique sites:
Sr 0.0000 0.0000 0.0000 x2  12 Hg 3.52-3.60
Sr 0.0000 0.0000 0.2793 x4  12 Hg 3.41-3.60, 2 Al 3.47
Al 0.0000 0.1447 0.5000 x4  3 Al 2.74-2.95, 2 Hg 2.80
Al 0.0000 0.5000 0.0000 x2  4 Hg 2.74, 4 Al 2.95
Hg 0.0000 0.3043 0.1400 x8  1 Al 2.74, 2 Hg 2.99
Hg 0.0000 0.3491 0.3601 x8  1 Al 2.80, 3 Hg 2.86-2.99

Computed properties:
total energy	-45.83	eV per cell
size of the total moment	0.00	μB per atom
energy of formation	-302	meV per atom

(19)
A plane-wave DFT calculation with PBE was carried out for a relaxed K2SbO crystal.

a b c (Å): 7.9673 7.9673 7.9673
angles (deg): 90.00 90.00 90.00
With the nearest neighbours (Å) after each atom.
Space group Fm-3m (No. 225)
Unique sites:
K 0.2500 0.2500 0.2500 x8  4 O 3.45, 4 Sb 3.45
Sb 0.0000 0.0000 0.0000 x4  8 K 3.45
O 0.0000 0.0000 0.5000 x4  8 K 3.45

Computed properties:
distance to the lowest polymorph of the same formula	678	meV/atom
total energy	-44.92	eV per cell
uncorrected formation energy	0.011	eV per atom
size of the total moment	0.75	μB per atom

(20)
A plane-wave DFT calculation with PBE was carried out for a relaxed Al3TeAs crystal.

a b c (Å): 5.0067 5.0067 5.0067
angles (deg): 90.00 90.00 90.00
With the nearest neighbours (Å) after each atom.
Space group Pm-3m (No. 221)
Unique sites:
Al 0.0000 0.0000 0.5000 x3  2 As 2.50
Te 0.5000 0.5000 0.5000 x1  12 Al 3.54
As 0.0000 0.0000 0.0000 x1  6 Al 2.50

Computed properties:
distance to the lowest polymorph of the same formula	0	meV/atom
total energy	-17.16	eV per cell
uncorrected formation energy	0.371	eV per atom
size of the total moment	0.00	μB per atom